VASP calculation (GGA-PBEsol) on SrIn2Te4 after structural relaxation.

* electronic total energy: -3.834 eV/atom

Cell and atoms, written as CIF:
```
data_SrIn2Te4
_cell_length_a 6.8018
_cell_length_b 6.8018
_cell_length_c 11.7289
_cell_angle_alpha 90.00
_cell_angle_beta 90.00
_cell_angle_gamma 117.13
_symmetry_space_group_name_H-M 'P 1'
_symmetry_Int_Tables_number 1
loop_
_symmetry_equiv_pos_as_xyz
'x,y,z'
loop_
_atom_site_label
_atom_site_fract_x
_atom_site_fract_y
_atom_site_fract_z
Te1 0.0000 0.5000 0.1873
Te2 0.7884 0.6606 0.5000
Te3 0.0000 0.5000 0.8127
Te4 0.5000 0.0000 0.6873
Te5 0.3394 0.2116 0.0000
Te6 0.6606 0.7884 0.0000
Te7 0.5000 0.0000 0.3127
Te8 0.2116 0.3394 0.5000
In1 0.7698 0.2361 0.0000
In2 0.7639 0.2302 0.5000
In3 0.2361 0.7698 0.5000
In4 0.2302 0.7639 0.0000
Sr1 0.5000 0.5000 0.2500
Sr2 0.5000 0.5000 0.7500
```